DFT (PBE) results for a relaxed KLi2Tl crystal.

a b c (Å): 4.753 4.753 10.278
angles (deg): 90.00 90.00 90.00
Atoms (fractional coordinates):
K 0.000 0.000 0.000
K 0.500 0.500 0.500
Li 0.000 0.000 0.500
Li 0.000 0.500 0.750
Li 0.500 0.000 0.250
Li 0.500 0.500 0.000
Tl 0.000 0.500 0.250
Tl 0.500 0.000 0.750

Output
space-group type: No. 119
energy above the lowest structure with this stoichiometry: 93.8 meV/atom